1.
Pu2RhC | PBE-GGA | optimized geometry

Lattice parameters (Å, degrees): 3.1254 3.1254 6.8406 90.00 90.00 90.00
With the nearest neighbours (Å) after each atom.
Atoms (fractional coordinates):
1 Pu 0.0000 0.0000 0.7976  4 C 2.61, 1 Pu 2.77
2 Pu 0.0000 0.0000 0.2024  4 C 2.61, 1 Pu 2.77
3 C 0.5000 0.5000 0.0000  8 Pu 2.61
4 Rh 0.5000 0.5000 0.5000  8 Pu 3.00, 4 Rh 3.13

Values from the calculation:
Calculated volume (Å³/cell): 66.8
Space group: P4/mmm, No. 123
E_form (eV/atom): -0.041
Relative energy among the computed polymorphs (meV per atom): 101
Fermi-level density of states (states/eV per atom): 2.65



2.
PuRhC | PBE-GGA | optimized geometry

Lattice parameters (Å, degrees): 2.7798 3.7157 8.6021 77.53 90.00 90.00
With the nearest neighbours (Å) after each atom.
Atoms (fractional coordinates):
1 Pu 0.7500 0.9027 0.1945  6 C 2.65-2.72, 2 Pu 2.78
2 Pu 0.2500 0.0973 0.8055  6 C 2.65-2.72, 2 Pu 2.78
3 C 0.7500 0.5206 0.9588  2 C 1.55
4 C 0.2500 0.4794 0.0412  2 C 1.55
5 Rh 0.7500 0.7137 0.5726  6 Rh 2.62-2.78
6 Rh 0.2500 0.2863 0.4274  6 Rh 2.62-2.78

Values from the calculation:
Calculated volume (Å³/cell): 86.8
Space group: Cmcm, No. 63
E_form (eV/atom): 0.031
Fermi-level density of states (states/eV per atom): 1.86



3.
Pu2Rh6C | PBE-GGA | optimized geometry

Lattice parameters (Å, degrees): 5.8391 5.8395 8.2453 90.00 90.01 90.00
With the nearest neighbours (Å) after each atom.
Atoms (fractional coordinates):
1 Rh 0.2525 0.2525 0.5000  1 C 2.09
2 Rh 0.2525 0.7475 0.5000  1 C 2.09
3 Rh 0.2475 0.2475 0.0000  1 C 2.09
4 Rh 0.7475 0.7475 0.5000  1 C 2.09
5 Rh 0.7525 0.2475 0.0000  1 C 2.09
6 Rh 0.2475 0.7525 0.0000  1 C 2.09
7 Rh 0.7525 0.7525 0.0000  1 C 2.09
8 Rh 0.0000 0.0000 0.2474  1 C 2.08
9 Rh 0.5000 0.5000 0.7474  1 C 2.08
10 Rh 0.0000 0.0000 0.7526  1 C 2.08
11 Rh 0.7475 0.2525 0.5000  1 C 2.09
12 Rh 0.5000 0.5000 0.2526  1 C 2.08
13 C 0.5000 0.5000 0.0000  6 Rh 2.08-2.09
14 C 0.0000 0.0000 0.5000  6 Rh 2.08-2.09
15 Pu 0.5000 0.0000 0.2500  12 Rh 2.92
16 Pu 0.0000 0.5000 0.2500  12 Rh 2.92
17 Pu 0.0000 0.5000 0.7500  12 Rh 2.92
18 Pu 0.5000 0.0000 0.7500  12 Rh 2.92

Values from the calculation:
Calculated volume (Å³/cell): 281.1
Space group: I4/mmm, No. 139
E_form (eV/atom): -0.351
Fermi-level density of states (states/eV per atom): 3.48



4.
PuRuC | PBE-GGA | optimized geometry

Lattice parameters (Å, degrees): 5.0198 3.2857 3.2857 120.00 90.00 90.00
With the nearest neighbours (Å) after each atom.
Atoms (fractional coordinates):
1 Ru 0.1281 0.0000 0.0000  3 C 2.03
2 Pu 0.5997 0.3333 0.6667  3 C 2.51
3 C 0.2721 0.6667 0.3333  3 Ru 2.03

Values from the calculation:
Calculated volume (Å³/cell): 46.9
Space group: P3m1, No. 156
E_form (eV/atom): 0.073
Relative energy among the computed polymorphs (meV per atom): 0
Fermi-level density of states (states/eV per atom): 2.14